# ReBPt3 PBE-GGA optimized geometry
data_ReBPt3
_space_group_name_H-M_alt 'P m -3 m'
_space_group_IT_number 221
_space_group_name_Hall '-P 4 2 3'
_cell_length_a 4.843
_cell_length_b 4.843
_cell_length_c 4.843
_cell_angle_alpha 90.00
_cell_angle_beta 90.00
_cell_angle_gamma 90.00
loop_
_atom_site_label
_atom_site_fract_x
_atom_site_fract_y
_atom_site_fract_z
Re1 0.000 0.000 0.000
B1 0.500 0.500 0.500
Pt1 0.000 0.000 0.500
# Fermi-level density of states   0.783 states/eV/atom
# Crystal system   cubic
# Total magnetic moment   0.00 μB per cell
# E_form   2.035 eV per atom